CeEr2P3 (GGA-PBE, relaxed); VASP energy = -6.787 eV/atom; spin magnetization = 0.4 μB per cell; formation energy = -1572 meV per atom; mass density = 6.913 Mg/m³
1.0
-3.5747 -0.2885 -1.7918
0.8028 -5.5651 -0.7057
-1.1940 1.8805 6.5643
Ce Er P
1 2 3
Cartesian
0.4014 -2.7825 -0.3529 Ce
-2.6460 -0.4924 0.8731 Er
-1.3199 -3.4806 3.1937 Er
-1.7088 -0.6930 3.5206 P
0.0000 0.0000 0.0000 P
-2.2571 -3.2801 0.5462 P